1.
An optimized crystal structure of Y5In4Ru. Source: the Alexandria database, functional PBE-GGA.

## Properties
DOS(E_F): 6.586 states/eV per cell
magnetization: 0.158 μB per formula unit
symmetry: No. 123
total energy: -57.40 eV for the cell shown

abc: 3.496 3.496 20.653
angles: 90.00 90.00 90.00
Site moments in Bohr magnetons follow the coordinates.
Sites, in units of the cell vectors:
Y  0.500  0.500  0.080  -0.01
Y  0.500  0.500  0.290  0.11
Y  0.500  0.500  0.500  -0.11
Y  0.500  0.500  0.710  0.11
Y  0.500  0.500  0.920  -0.01
In  0.000  0.000  0.187  0.00
In  0.000  0.000  0.395  0.00
In  0.000  0.000  0.605  0.00
In  0.000  0.000  0.813  0.00
Ru  0.000  0.000  0.000  0.00



2.
An optimized crystal structure of YInRu2. Source: the Alexandria database, functional PBE-GGA.

## Properties
DOS(E_F): 6.505 states/eV per cell
magnetization: 0.001 μB per formula unit
symmetry: No. 119
total energy: -27.72 eV for the cell shown

abc: 5.439 5.439 5.439
angles: 136.92 136.92 62.56
Sites, in units of the cell vectors:
In  0.750  0.250  0.500
Ru  0.000  0.000  0.000
Ru  0.250  0.750  0.500
Y  0.500  0.500  0.000



3.
An optimized crystal structure of Y5InRu4. Source: the Alexandria database, functional PBE-GGA.

## Properties
DOS(E_F): 7.267 states/eV per cell
magnetization: 0.000 μB per formula unit
symmetry: No. 123
total energy: -75.73 eV for the cell shown

abc: 3.445 3.445 17.932
angles: 90.00 90.00 90.00
Sites, in units of the cell vectors:
Y  0.500  0.500  0.125
Y  0.500  0.500  0.312
Y  0.500  0.500  0.500
Y  0.500  0.500  0.688
Y  0.500  0.500  0.875
In  0.000  0.000  0.000
Ru  0.000  0.000  0.212
Ru  0.000  0.000  0.405
Ru  0.000  0.000  0.595
Ru  0.000  0.000  0.788



4.
An optimized crystal structure of Y2InRu. Source: the Alexandria database, functional PBE-GGA.

## Properties
DOS(E_F): 4.508 states/eV per cell
magnetization: 0.418 μB per formula unit
symmetry: No. 160
total energy: -24.72 eV for the cell shown

abc: 9.760 9.760 9.760
angles: 20.64 20.64 20.64
Site moments in Bohr magnetons follow the coordinates.
Sites, in units of the cell vectors:
In  0.485  0.485  0.485  -0.01
Ru  0.754  0.754  0.754  0.07
Y  0.019  0.019  0.019  0.04
Y  0.242  0.242  0.242  0.13



5.
An optimized crystal structure of Y2In2Ru. Source: the Alexandria database, functional PBE-GGA.

## Properties
DOS(E_F): 10.904 states/eV per cell
magnetization: 0.197 μB per formula unit
symmetry: No. 127
total energy: -57.21 eV for the cell shown

abc: 7.342 7.342 4.487
angles: 90.00 90.00 90.00
Site moments in Bohr magnetons follow the coordinates.
Sites, in units of the cell vectors:
Y  0.173  0.673  0.500  -0.03
Y  0.673  0.827  0.500  -0.02
Y  0.827  0.327  0.500  -0.03
Y  0.327  0.173  0.500  -0.02
Ru  0.000  0.000  0.000  0.29
Ru  0.500  0.500  0.000  0.29
In  0.362  0.862  0.000  0.00
In  0.862  0.638  0.000  0.00
In  0.638  0.138  0.000  0.00
In  0.138  0.362  0.000  0.00



6.
An optimized crystal structure of Y5In2Ru2. Source: the Alexandria database, functional PBE-GGA.

## Properties
DOS(E_F): 12.475 states/eV per cell
magnetization: 0.000 μB per formula unit
symmetry: No. 64
total energy: -119.36 eV for the cell shown

abc: 7.472 7.577 9.052
angles: 90.00 65.62 90.00
Sites, in units of the cell vectors:
Y  0.000  0.000  0.000
Y  0.500  0.500  0.000
Y  0.438  0.179  0.762
Y  0.800  0.821  0.762
Y  0.300  0.679  0.762
Y  0.938  0.321  0.762
Y  0.562  0.821  0.238
Y  0.200  0.179  0.238
Y  0.700  0.321  0.238
Y  0.062  0.679  0.238
In  0.224  0.000  0.552
In  0.724  0.500  0.552
In  0.776  0.000  0.448
In  0.276  0.500  0.448
Ru  0.117  0.377  0.000
Ru  0.883  0.623  0.000
Ru  0.383  0.877  0.000
Ru  0.617  0.123  0.000



- What is the total energy in the sixth record?
  -119.36 eV for the cell shown